This record from the Alexandria database describes a PBEsol-optimized structure of NaScCdPb2. The functional is SCAN.

a b c (Å): 5.5850 5.5850 5.3811
angles (deg): 90.00 90.00 90.00
Fractional positions:
Na1 0.0000 0.0000 0.0000
Sc1 0.5000 0.5000 0.0000
Cd1 0.5000 0.5000 0.5000
Pb1 0.0000 0.5000 0.5000
Pb2 0.5000 0.0000 0.5000

Summary:
The calculation puts the total energy at -39.743 eV/atom. The value obtained for the density of states at the Fermi level is 0.63 states/eV per atom. The formation energy comes out at 342 meV/atom. The space group is P4/mmm (123).